First-principles (GGA-PBEsol) data for a geometry-optimized PtSeS structure, as listed in Alexandria.

Cell and atoms, written as CIF:
```
data_PtSeS
_chemical_formula_sum 'Pt1 Se1 S1'
_cell_length_a 3.6680
_cell_length_b 3.6680
_cell_length_c 4.7151
_cell_angle_alpha 90.00
_cell_angle_beta 90.00
_cell_angle_gamma 120.00
_space_group_name_H-M_alt 'P 1'
_space_group_IT_number 1
_space_group_name_Hall 'P 1'
loop_
_atom_site_label
_atom_site_type_symbol
_atom_site_fract_x
_atom_site_fract_y
_atom_site_fract_z
Pt1 Pt 0.0000 0.0000 0.0000
Se1 Se 0.3333 0.6667 0.2758
S1 S 0.6667 0.3333 0.7530
```

The raw total energy is -5.468 eV/atom. As for the symmetry: P3m1.



First-principles (GGA-PBEsol) data for a geometry-optimized ZrCu3Te structure, as listed in Alexandria.

Cell and atoms, written as CIF:
```
data_ZrCu3Te
_chemical_formula_sum 'Zr1 Cu3 Te1'
_cell_length_a 4.7970
_cell_length_b 4.7970
_cell_length_c 4.7970
_cell_angle_alpha 90.00
_cell_angle_beta 90.00
_cell_angle_gamma 90.00
_space_group_name_H-M_alt 'P 1'
_space_group_IT_number 1
_space_group_name_Hall 'P 1'
loop_
_atom_site_label
_atom_site_type_symbol
_atom_site_fract_x
_atom_site_fract_y
_atom_site_fract_z
Zr1 Zr 0.0000 0.0000 0.0000
Cu1 Cu 0.0000 0.0000 0.5000
Cu2 Cu 0.0000 0.5000 0.0000
Cu3 Cu 0.5000 0.0000 0.0000
Te1 Te 0.5000 0.5000 0.5000
```

The raw total energy is -3.849 eV/atom. As for the symmetry: Pm-3m.



First-principles (GGA-PBEsol) data for a geometry-optimized Y3BrF structure, as listed in Alexandria.

Cell and atoms, written as CIF:
```
data_Y3BrF
_chemical_formula_sum 'Y3 Br1 F1'
_cell_length_a 4.8376
_cell_length_b 4.8376
_cell_length_c 4.8376
_cell_angle_alpha 90.00
_cell_angle_beta 90.00
_cell_angle_gamma 90.00
_space_group_name_H-M_alt 'P 1'
_space_group_IT_number 1
_space_group_name_Hall 'P 1'
loop_
_atom_site_label
_atom_site_type_symbol
_atom_site_fract_x
_atom_site_fract_y
_atom_site_fract_z
Y1 Y 0.0000 0.0000 0.5000
Y2 Y 0.0000 0.5000 0.0000
Y3 Y 0.5000 0.0000 0.0000
Br1 Br 0.5000 0.5000 0.5000
F1 F 0.0000 0.0000 0.0000
```

The raw total energy is -5.665 eV/atom. As for the symmetry: Pm-3m.



First-principles (GGA-PBEsol) data for a geometry-optimized CrPt2 structure, as listed in Alexandria.

Cell and atoms, written as CIF:
```
data_CrPt2
_chemical_formula_sum 'Cr2 Pt4'
_cell_length_a 5.1761
_cell_length_b 5.1761
_cell_length_c 5.1761
_cell_angle_alpha 60.00
_cell_angle_beta 60.00
_cell_angle_gamma 60.00
_space_group_name_H-M_alt 'P 1'
_space_group_IT_number 1
_space_group_name_Hall 'P 1'
loop_
_atom_site_label
_atom_site_type_symbol
_atom_site_fract_x
_atom_site_fract_y
_atom_site_fract_z
Cr1 Cr 0.1250 0.1250 0.1250
Cr2 Cr 0.8750 0.8750 0.8750
Pt1 Pt 0.0000 0.5000 0.5000
Pt2 Pt 0.5000 0.0000 0.5000
Pt3 Pt 0.5000 0.5000 0.0000
Pt4 Pt 0.5000 0.5000 0.5000
```

For the formation enthalpy at 0 K, the calculation gives 235 meV/atom. The raw total energy is -7.821 eV/atom. As for the symmetry: Fd-3m.



First-principles (GGA-PBEsol) data for a geometry-optimized Ta2H structure, as listed in Alexandria.

Cell and atoms, written as CIF:
```
data_Ta2H
_chemical_formula_sum 'Ta4 H2'
_cell_length_a 4.8026
_cell_length_b 3.2223
_cell_length_c 4.8563
_cell_angle_alpha 90.00
_cell_angle_beta 97.05
_cell_angle_gamma 90.00
_space_group_name_H-M_alt 'P 1'
_space_group_IT_number 1
_space_group_name_Hall 'P 1'
loop_
_atom_site_label
_atom_site_type_symbol
_atom_site_fract_x
_atom_site_fract_y
_atom_site_fract_z
Ta1 Ta 0.2331 0.0000 0.2628
Ta2 Ta 0.2669 0.5000 0.7372
Ta3 Ta 0.7331 0.5000 0.2628
Ta4 Ta 0.7669 0.0000 0.7372
H1 H 0.0000 0.5000 0.0000
H2 H 0.5000 0.0000 0.0000
```

The raw total energy is -9.598 eV/atom. As for the symmetry: C2/m.



First-principles (GGA-PBEsol) data for a geometry-optimized SrLa2Ir structure, as listed in Alexandria.

Cell and atoms, written as CIF:
```
data_SrLa2Ir
_chemical_formula_sum 'Sr1 La2 Ir1'
_cell_length_a 5.0147
_cell_length_b 5.0147
_cell_length_c 4.2585
_cell_angle_alpha 90.00
_cell_angle_beta 90.00
_cell_angle_gamma 90.00
_space_group_name_H-M_alt 'P 1'
_space_group_IT_number 1
_space_group_name_Hall 'P 1'
loop_
_atom_site_label
_atom_site_type_symbol
_atom_site_fract_x
_atom_site_fract_y
_atom_site_fract_z
Sr1 Sr 0.0000 0.0000 0.0000
La1 La 0.0000 0.5000 0.5000
La2 La 0.5000 0.0000 0.5000
Ir1 Ir 0.5000 0.5000 0.0000
```

For the formation enthalpy at 0 K, the calculation gives 97 meV/atom. The raw total energy is -5.492 eV/atom. As for the symmetry: P4/mmm.



First-principles (GGA-PBEsol) data for a geometry-optimized ScIn2Hg structure, as listed in Alexandria.

Cell and atoms, written as CIF:
```
data_ScIn2Hg
_chemical_formula_sum 'Sc1 In2 Hg1'
_cell_length_a 4.4180
_cell_length_b 4.4180
_cell_length_c 4.3492
_cell_angle_alpha 90.00
_cell_angle_beta 90.00
_cell_angle_gamma 90.00
_space_group_name_H-M_alt 'P 1'
_space_group_IT_number 1
_space_group_name_Hall 'P 1'
loop_
_atom_site_label
_atom_site_type_symbol
_atom_site_fract_x
_atom_site_fract_y
_atom_site_fract_z
Sc1 Sc 0.0000 0.0000 0.0000
In1 In 0.0000 0.5000 0.5000
In2 In 0.5000 0.0000 0.5000
Hg1 Hg 0.5000 0.5000 0.0000
```

For the formation enthalpy at 0 K, the calculation gives -398 meV/atom. The raw total energy is -3.682 eV/atom. As for the symmetry: P4/mmm.



First-principles (GGA-PBEsol) data for a geometry-optimized Ag3Te structure, as listed in Alexandria.

Cell and atoms, written as CIF:
```
data_Ag3Te
_chemical_formula_sum 'Ag3 Te1'
_cell_length_a 3.2594
_cell_length_b 4.5128
_cell_length_c 5.3614
_cell_angle_alpha 90.00
_cell_angle_beta 90.00
_cell_angle_gamma 90.00
_space_group_name_H-M_alt 'P 1'
_space_group_IT_number 1
_space_group_name_Hall 'P 1'
loop_
_atom_site_label
_atom_site_type_symbol
_atom_site_fract_x
_atom_site_fract_y
_atom_site_fract_z
Ag1 Ag 0.0000 0.0000 0.0000
Ag2 Ag 0.0000 0.5000 0.3163
Ag3 Ag 0.5000 0.0000 0.4382
Te1 Te 0.5000 0.5000 0.7897
```

The raw total energy is -3.247 eV/atom. As for the symmetry: Pmm2.



First-principles (GGA-PBEsol) data for a geometry-optimized KBa4Ag structure, as listed in Alexandria.

Cell and atoms, written as CIF:
```
data_KBa4Ag
_chemical_formula_sum 'K1 Ba4 Ag1'
_cell_length_a 7.6887
_cell_length_b 7.6887
_cell_length_c 7.6887
_cell_angle_alpha 60.00
_cell_angle_beta 60.00
_cell_angle_gamma 60.00
_space_group_name_H-M_alt 'P 1'
_space_group_IT_number 1
_space_group_name_Hall 'P 1'
loop_
_atom_site_label
_atom_site_type_symbol
_atom_site_fract_x
_atom_site_fract_y
_atom_site_fract_z
K1 K 0.0000 0.0000 0.0000
Ba1 Ba 0.3760 0.3760 0.3760
Ba2 Ba 0.3760 0.3760 0.8721
Ba3 Ba 0.3760 0.8721 0.3760
Ba4 Ba 0.8721 0.3760 0.3760
Ag1 Ag 0.7500 0.7500 0.7500
```

For the formation enthalpy at 0 K, the calculation gives 464 meV/atom. The raw total energy is -1.710 eV/atom. As for the symmetry: F-43m.



First-principles (GGA-PBEsol) data for a geometry-optimized AlMo2Cl structure, as listed in Alexandria.

Cell and atoms, written as CIF:
```
data_AlMo2Cl
_chemical_formula_sum 'Al2 Mo4 Cl2'
_cell_length_a 4.0613
_cell_length_b 4.0613
_cell_length_c 7.4649
_cell_angle_alpha 90.00
_cell_angle_beta 90.00
_cell_angle_gamma 90.00
_space_group_name_H-M_alt 'P 1'
_space_group_IT_number 1
_space_group_name_Hall 'P 1'
loop_
_atom_site_label
_atom_site_type_symbol
_atom_site_fract_x
_atom_site_fract_y
_atom_site_fract_z
Al1 Al 0.0000 0.0000 0.0000
Al2 Al 0.5000 0.5000 0.5000
Mo1 Mo 0.0000 0.0000 0.5000
Mo2 Mo 0.0000 0.5000 0.7500
Mo3 Mo 0.5000 0.0000 0.2500
Mo4 Mo 0.5000 0.5000 0.0000
Cl1 Cl 0.0000 0.5000 0.2500
Cl2 Cl 0.5000 0.0000 0.7500
```

The raw total energy is -6.861 eV/atom. As for the symmetry: I-4m2.



First-principles (GGA-PBEsol) data for a geometry-optimized SnMoPtO2 structure, as listed in Alexandria.

Cell and atoms, written as CIF:
```
data_SnMoPtO2
_chemical_formula_sum 'Sn1 Mo1 Pt1 O2'
_cell_length_a 3.7457
_cell_length_b 3.7457
_cell_length_c 6.0458
_cell_angle_alpha 90.00
_cell_angle_beta 90.00
_cell_angle_gamma 90.00
_space_group_name_H-M_alt 'P 1'
_space_group_IT_number 1
_space_group_name_Hall 'P 1'
loop_
_atom_site_label
_atom_site_type_symbol
_atom_site_fract_x
_atom_site_fract_y
_atom_site_fract_z
Sn1 Sn 0.0000 0.0000 0.0000
Mo1 Mo 0.0000 0.0000 0.5000
Pt1 Pt 0.5000 0.5000 0.0000
O1 O 0.0000 0.5000 0.5000
O2 O 0.5000 0.0000 0.5000
```

The raw total energy is -7.490 eV/atom. As for the symmetry: P4/mmm.



First-principles (GGA-PBEsol) data for a geometry-optimized Ca2In2Bi structure, as listed in Alexandria.

Cell and atoms, written as CIF:
```
data_Ca2In2Bi
_chemical_formula_sum 'Ca4 In4 Bi2'
_cell_length_a 4.9248
_cell_length_b 4.9248
_cell_length_c 12.9680
_cell_angle_alpha 90.00
_cell_angle_beta 90.00
_cell_angle_gamma 90.00
_space_group_name_H-M_alt 'P 1'
_space_group_IT_number 1
_space_group_name_Hall 'P 1'
loop_
_atom_site_label
_atom_site_type_symbol
_atom_site_fract_x
_atom_site_fract_y
_atom_site_fract_z
Ca1 Ca 0.0000 0.5000 0.2500
Ca2 Ca 0.0000 0.5000 0.7500
Ca3 Ca 0.5000 0.0000 0.2500
Ca4 Ca 0.5000 0.0000 0.7500
In1 In 0.0000 0.0000 0.1012
In2 In 0.0000 0.0000 0.8988
In3 In 0.5000 0.5000 0.3988
In4 In 0.5000 0.5000 0.6012
Bi1 Bi 0.0000 0.0000 0.5000
Bi2 Bi 0.5000 0.5000 0.0000
```

For the formation enthalpy at 0 K, the calculation gives -97 meV/atom. The raw total energy is -3.001 eV/atom. As for the symmetry: I4/mmm.



First-principles (GGA-PBEsol) data for a geometry-optimized AlHg5 structure, as listed in Alexandria.

Cell and atoms, written as CIF:
```
data_AlHg5
_chemical_formula_sum 'Al2 Hg10'
_cell_length_a 11.1893
_cell_length_b 3.1027
_cell_length_c 7.9036
_cell_angle_alpha 90.00
_cell_angle_beta 102.41
_cell_angle_gamma 90.00
_space_group_name_H-M_alt 'P 1'
_space_group_IT_number 1
_space_group_name_Hall 'P 1'
loop_
_atom_site_label
_atom_site_type_symbol
_atom_site_fract_x
_atom_site_fract_y
_atom_site_fract_z
Al1 Al 0.0000 0.0000 0.0000
Al2 Al 0.5000 0.5000 0.0000
Hg1 Hg 0.0408 0.0000 0.6539
Hg2 Hg 0.2152 0.5000 0.0958
Hg3 Hg 0.2579 0.5000 0.4704
Hg4 Hg 0.3089 0.0000 0.8099
Hg5 Hg 0.4728 0.0000 0.2998
Hg6 Hg 0.5408 0.5000 0.6539
Hg7 Hg 0.7152 0.0000 0.0958
Hg8 Hg 0.7579 0.0000 0.4704
Hg9 Hg 0.8089 0.5000 0.8099
Hg10 Hg 0.9728 0.5000 0.2998
```

For the formation enthalpy at 0 K, the calculation gives 49 meV/atom. The raw total energy is -1.105 eV/atom. As for the symmetry: Cm.



First-principles (GGA-PBEsol) data for a geometry-optimized CaHg2Rh structure, as listed in Alexandria.

Cell and atoms, written as CIF:
```
data_CaHg2Rh
_chemical_formula_sum 'Ca4 Hg8 Rh4'
_cell_length_a 6.8053
_cell_length_b 6.8053
_cell_length_c 6.8053
_cell_angle_alpha 90.00
_cell_angle_beta 90.00
_cell_angle_gamma 90.00
_space_group_name_H-M_alt 'P 1'
_space_group_IT_number 1
_space_group_name_Hall 'P 1'
loop_
_atom_site_label
_atom_site_type_symbol
_atom_site_fract_x
_atom_site_fract_y
_atom_site_fract_z
Ca1 Ca 0.0000 0.0000 0.0000
Ca2 Ca 0.0000 0.5000 0.5000
Ca3 Ca 0.5000 0.0000 0.5000
Ca4 Ca 0.5000 0.5000 0.0000
Hg1 Hg 0.0000 0.0000 0.5000
Hg2 Hg 0.0000 0.5000 0.0000
Hg3 Hg 0.2500 0.2500 0.2500
Hg4 Hg 0.2500 0.7500 0.7500
Hg5 Hg 0.5000 0.0000 0.0000
Hg6 Hg 0.5000 0.5000 0.5000
Hg7 Hg 0.7500 0.2500 0.7500
Hg8 Hg 0.7500 0.7500 0.2500
Rh1 Rh 0.2500 0.2500 0.7500
Rh2 Rh 0.2500 0.7500 0.2500
Rh3 Rh 0.7500 0.2500 0.2500
Rh4 Rh 0.7500 0.7500 0.7500
```

For the formation enthalpy at 0 K, the calculation gives -166 meV/atom. The raw total energy is -3.017 eV/atom. As for the symmetry: F-43m.



First-principles (GGA-PBEsol) data for a geometry-optimized InCuO2 structure, as listed in Alexandria.

Cell and atoms, written as CIF:
```
data_InCuO2
_chemical_formula_sum 'In2 Cu2 O4'
_cell_length_a 3.3037
_cell_length_b 3.3037
_cell_length_c 11.5256
_cell_angle_alpha 90.00
_cell_angle_beta 90.00
_cell_angle_gamma 120.00
_space_group_name_H-M_alt 'P 1'
_space_group_IT_number 1
_space_group_name_Hall 'P 1'
loop_
_atom_site_label
_atom_site_type_symbol
_atom_site_fract_x
_atom_site_fract_y
_atom_site_fract_z
In1 In 0.0000 0.0000 0.0000
In2 In 0.0000 0.0000 0.5000
Cu1 Cu 0.3333 0.6667 0.2500
Cu2 Cu 0.6667 0.3333 0.7500
O1 O 0.3333 0.6667 0.0920
O2 O 0.3333 0.6667 0.4080
O3 O 0.6667 0.3333 0.5920
O4 O 0.6667 0.3333 0.9080
```

The raw total energy is -5.586 eV/atom. As for the symmetry: P6_3/mmc.